1.
Crystalline Y2MnIr at its relaxed geometry, computed with PBE.

```
Y2MnIr
1.0
7.021 -0.157 -0.096
5.869 3.856 -0.096
5.869 1.684 3.470
Mn Y Ir
1 2 1
direct
0.796 0.796 0.796
0.034 0.034 0.034
0.217 0.217 0.217
0.453 0.453 0.453
```

Calculated values
- energy relative to the elements (eV/atom) = -0.304

---

2.
Crystalline TaAsHBr2 at its relaxed geometry, computed with PBE.

```
TaAsHBr2
1.0
-3.486 -2.578 2.912
3.167 -4.152 0.114
2.156 1.759 4.138
As Br H Ta
1 2 1 1
direct
0.000 0.000 0.500
0.500 0.000 0.000
0.000 0.500 0.000
0.500 0.500 0.500
0.000 0.000 0.000
```

Calculated values
- polymorph energy (0 for the lowest one) (eV per atom) = 0.000

---

3.
Crystalline La2NbW at its relaxed geometry, computed with PBE.

```
La2NbW
1.0
0.000 3.668 3.668
3.668 0.000 3.668
3.668 3.668 0.000
La Nb W
2 1 1
direct
0.750 0.750 0.750
0.250 0.250 0.250
0.000 0.000 0.000
0.500 0.500 0.500
```

Calculated values
- energy relative to the elements (eV/atom) = 0.869
- polymorph energy (0 for the lowest one) (eV per atom) = 0.000

---

4.
Crystalline Ca4I3N at its relaxed geometry, computed with PBE.

```
Ca4I3N
1.0
7.775 -0.106 0.236
-3.921 6.715 -0.236
-3.203 -2.561 6.611
I Ca N
3 4 1
direct
0.077 0.000 0.077
0.504 0.781 0.284
0.504 0.219 0.723
0.643 0.271 0.373
0.102 0.729 0.373
0.147 0.313 0.460
0.147 0.687 0.834
0.029 0.500 0.529
```

Calculated values
- energy relative to the elements, uncorrected (meV/atom) = -962.8

---

5.
Crystalline ZrNbSn2W at its relaxed geometry, computed with PBE.

```
ZrNbSn2W
1.0
-2.319 -2.524 3.969
0.573 -4.101 -2.272
4.660 -0.634 2.320
Zr Sn Nb W
1 2 1 1
direct
0.500 0.500 0.500
0.500 0.000 0.000
0.000 0.000 0.500
0.000 0.000 0.000
0.000 0.500 0.000
```

Calculated values
- energy relative to the elements (eV/atom) = 1.202

---

6.
Crystalline TaPdC2 at its relaxed geometry, computed with PBE.

```
TaPdC2
1.0
0.000 2.783 2.783
2.783 0.000 2.783
2.783 2.783 0.000
C Pd Ta
2 1 1
direct
0.250 0.250 0.250
0.750 0.750 0.750
0.000 0.000 0.000
0.500 0.500 0.500
```

Calculated values
- energy relative to the elements (eV/atom) = 1.059
- polymorph energy (0 for the lowest one) (eV per atom) = 0.429

---

no.,Fermi-level density of states (states/eV per cell)
1,3.17
2,3.45
3,5.62
4,2.34
5,7.36
6,3.18